# 1
Tb2DyCuSn3Ir2 | PBE-GGA | relaxed

Summary:
The final energy is -53.9 eV/cell. As for the spin magnetization: 0.0 μB/cell.

```
data_Tb2DyCuSn3Ir2
_symmetry_space_group_name_H-M 'P 1'
_symmetry_Int_Tables_number 1
_cell_length_a 3.899
_cell_length_b 7.538
_cell_length_c 7.538
_cell_angle_alpha 119.94
_cell_angle_beta 90.00
_cell_angle_gamma 90.00
loop_
_symmetry_equiv_pos_as_xyz
'x,y,z'
loop_
_atom_site_label
_atom_site_type_symbol
_atom_site_fract_x
_atom_site_fract_y
_atom_site_fract_z
_atom_site_occupancy
Ir1 Ir 0.500 0.334 0.666 1
Sn1 Sn 0.500 0.740 0.000 1
Tb1 Tb 0.000 0.406 0.000 1
Sn2 Sn 0.500 0.000 0.740 1
Ir2 Ir 0.500 0.666 0.334 1
Cu1 Cu 0.000 0.000 0.000 1
Dy1 Dy 0.000 0.594 0.594 1
Tb2 Tb 0.000 0.000 0.406 1
Sn3 Sn 0.500 0.260 0.260 1
```

# 2
RbUTe3Pd | PBE-GGA | relaxed

Summary:
The final energy is -63.0 eV/cell. As for the spin magnetization: 2.4 μB/cell.

```
data_RbUTe3Pd
_symmetry_space_group_name_H-M 'P 1'
_symmetry_Int_Tables_number 1
_cell_length_a 8.610
_cell_length_b 8.610
_cell_length_c 11.093
_cell_angle_alpha 90.00
_cell_angle_beta 90.00
_cell_angle_gamma 151.12
loop_
_symmetry_equiv_pos_as_xyz
'x,y,z'
loop_
_atom_site_label
_atom_site_type_symbol
_atom_site_fract_x
_atom_site_fract_y
_atom_site_fract_z
_atom_site_occupancy
Te1 Te 0.376 0.624 0.552 1
Te2 Te 0.624 0.376 0.052 1
Te3 Te 0.624 0.376 0.448 1
Te4 Te 0.376 0.624 0.948 1
Pd1 Pd 0.471 0.529 0.750 1
Rb1 Rb 0.247 0.754 0.250 1
U1 U 0.000 0.000 0.500 1
Te5 Te 0.069 0.931 0.750 1
Te6 Te 0.931 0.069 0.250 1
U2 U 0.000 0.000 0.000 1
Rb2 Rb 0.754 0.247 0.750 1
Pd2 Pd 0.529 0.471 0.250 1
```

# 3
RbDyTeO | PBE-GGA | relaxed

Summary:
As for the spin magnetization: 0.0 μB/cell. The value obtained for the energy above the most stable polymorph in this dataset is 0.326 eV/atom.

```
data_RbDyTeO
_symmetry_space_group_name_H-M 'P 1'
_symmetry_Int_Tables_number 1
_cell_length_a 4.312
_cell_length_b 4.312
_cell_length_c 10.818
_cell_angle_alpha 90.00
_cell_angle_beta 90.00
_cell_angle_gamma 90.00
loop_
_symmetry_equiv_pos_as_xyz
'x,y,z'
loop_
_atom_site_label
_atom_site_type_symbol
_atom_site_fract_x
_atom_site_fract_y
_atom_site_fract_z
_atom_site_occupancy
Te1 Te 0.250 0.250 0.745 1
Dy1 Dy 0.250 0.250 0.081 1
O1 O 0.250 0.750 0.000 1
Dy2 Dy 0.750 0.750 0.919 1
Te2 Te 0.750 0.750 0.255 1
Rb1 Rb 0.750 0.250 0.500 1
O2 O 0.750 0.250 0.000 1
Rb2 Rb 0.250 0.750 0.500 1
```

# 4
ErTmBe | PBE-GGA | relaxed

Summary:
As for the spin magnetization: 0.0 μB/cell. The value obtained for the energy above the most stable polymorph in this dataset is 0.000 eV/atom.

```
data_ErTmBe
_symmetry_space_group_name_H-M 'P 1'
_symmetry_Int_Tables_number 1
_cell_length_a 4.742
_cell_length_b 4.742
_cell_length_c 4.742
_cell_angle_alpha 60.00
_cell_angle_beta 60.00
_cell_angle_gamma 60.00
loop_
_symmetry_equiv_pos_as_xyz
'x,y,z'
loop_
_atom_site_label
_atom_site_type_symbol
_atom_site_fract_x
_atom_site_fract_y
_atom_site_fract_z
_atom_site_occupancy
Be1 Be 0.250 0.250 0.250 1
Tm1 Tm 0.000 0.000 0.000 1
Er1 Er 0.750 0.750 0.750 1
```

# 5
HoTmPb2Au2 | PBE-GGA | relaxed

Summary:
The final energy is -26.5 eV/cell. As for the spin magnetization: 0.0 μB/cell.

```
data_HoTmPb2Au2
_symmetry_space_group_name_H-M 'P 1'
_symmetry_Int_Tables_number 1
_cell_length_a 4.769
_cell_length_b 4.769
_cell_length_c 7.529
_cell_angle_alpha 90.00
_cell_angle_beta 90.00
_cell_angle_gamma 120.00
loop_
_symmetry_equiv_pos_as_xyz
'x,y,z'
loop_
_atom_site_label
_atom_site_type_symbol
_atom_site_fract_x
_atom_site_fract_y
_atom_site_fract_z
_atom_site_occupancy
Pb1 Pb 0.333 0.667 0.274 1
Ho1 Ho 0.000 0.000 0.503 1
Au1 Au 0.333 0.667 0.667 1
Au2 Au 0.667 0.333 0.164 1
Pb2 Pb 0.667 0.333 0.775 1
Tm1 Tm 0.000 0.000 0.004 1
```

# 6
BaMgSbIr | PBE-GGA | relaxed

Summary:
As for the spin magnetization: 0.0 μB/cell. The value obtained for the energy above the most stable polymorph in this dataset is 0.116 eV/atom.

```
data_BaMgSbIr
_symmetry_space_group_name_H-M 'P 1'
_symmetry_Int_Tables_number 1
_cell_length_a 5.246
_cell_length_b 5.246
_cell_length_c 5.246
_cell_angle_alpha 60.00
_cell_angle_beta 60.00
_cell_angle_gamma 60.00
loop_
_symmetry_equiv_pos_as_xyz
'x,y,z'
loop_
_atom_site_label
_atom_site_type_symbol
_atom_site_fract_x
_atom_site_fract_y
_atom_site_fract_z
_atom_site_occupancy
Ir1 Ir 0.000 0.000 0.000 1
Sb1 Sb 0.500 0.500 0.500 1
Ba1 Ba 0.250 0.250 0.250 1
Mg1 Mg 0.750 0.750 0.750 1
```

# 7
RbHfTe2AuSe | PBE-GGA | relaxed

Summary:
The final energy is -57.3 eV/cell. As for the spin magnetization: 0.0 μB/cell.

```
data_RbHfTe2AuSe
_symmetry_space_group_name_H-M 'P 1'
_symmetry_Int_Tables_number 1
_cell_length_a 8.412
_cell_length_b 8.412
_cell_length_c 10.661
_cell_angle_alpha 90.00
_cell_angle_beta 90.00
_cell_angle_gamma 151.54
loop_
_symmetry_equiv_pos_as_xyz
'x,y,z'
loop_
_atom_site_label
_atom_site_type_symbol
_atom_site_fract_x
_atom_site_fract_y
_atom_site_fract_z
_atom_site_occupancy
Au1 Au 0.542 0.458 0.250 1
Te1 Te 0.374 0.626 0.969 1
Rb1 Rb 0.250 0.750 0.250 1
Hf1 Hf 0.000 0.000 0.000 1
Au2 Au 0.458 0.542 0.750 1
Se1 Se 0.059 0.941 0.750 1
Te2 Te 0.626 0.374 0.469 1
Se2 Se 0.941 0.059 0.250 1
Te3 Te 0.374 0.626 0.531 1
Rb2 Rb 0.750 0.250 0.750 1
Hf2 Hf 0.000 0.000 0.500 1
Te4 Te 0.626 0.374 0.031 1
```

# 8
YNbPd | PBE-GGA | relaxed

Summary:
The value obtained for the formation energy is 251 kJ/mol of formula units. As for the spin magnetization: 2.8 μB/cell. The value obtained for the energy above the most stable polymorph in this dataset is 0.681 eV/atom.

```
data_YNbPd
_symmetry_space_group_name_H-M 'P 1'
_symmetry_Int_Tables_number 1
_cell_length_a 4.675
_cell_length_b 4.675
_cell_length_c 4.675
_cell_angle_alpha 60.00
_cell_angle_beta 60.00
_cell_angle_gamma 60.00
loop_
_symmetry_equiv_pos_as_xyz
'x,y,z'
loop_
_atom_site_label
_atom_site_type_symbol
_atom_site_fract_x
_atom_site_fract_y
_atom_site_fract_z
_atom_site_occupancy
Nb1 Nb 0.250 0.250 0.250 1
Pd1 Pd 0.750 0.750 0.750 1
Y1 Y 0.000 0.000 0.000 1
```

# 9
MgScCuB | PBE-GGA | relaxed

Summary:
As for the spin magnetization: 0.0 μB/cell. The value obtained for the energy above the most stable polymorph in this dataset is 0.000 eV/atom.

```
data_MgScCuB
_symmetry_space_group_name_H-M 'P 1'
_symmetry_Int_Tables_number 1
_cell_length_a 4.317
_cell_length_b 4.317
_cell_length_c 4.317
_cell_angle_alpha 60.00
_cell_angle_beta 60.00
_cell_angle_gamma 60.00
loop_
_symmetry_equiv_pos_as_xyz
'x,y,z'
loop_
_atom_site_label
_atom_site_type_symbol
_atom_site_fract_x
_atom_site_fract_y
_atom_site_fract_z
_atom_site_occupancy
B1 B 0.250 0.250 0.250 1
Mg1 Mg 0.500 0.500 0.500 1
Cu1 Cu 0.750 0.750 0.750 1
Sc1 Sc 0.000 0.000 0.000 1
```

# 10
Cs2Na3ReO6 | PBE-GGA | relaxed

Summary:
As for the spin magnetization: 0.0 μB/cell. The value obtained for the energy above the most stable polymorph in this dataset is 0.019 eV/atom.

```
data_Cs2Na3ReO6
_symmetry_space_group_name_H-M 'P 1'
_symmetry_Int_Tables_number 1
_cell_length_a 6.127
_cell_length_b 6.127
_cell_length_c 6.699
_cell_angle_alpha 101.84
_cell_angle_beta 101.84
_cell_angle_gamma 122.52
loop_
_symmetry_equiv_pos_as_xyz
'x,y,z'
loop_
_atom_site_label
_atom_site_type_symbol
_atom_site_fract_x
_atom_site_fract_y
_atom_site_fract_z
_atom_site_occupancy
Na1 Na 0.000 0.000 0.500 1
O1 O 0.355 0.355 0.157 1
O2 O 0.901 0.154 0.806 1
Na2 Na 0.336 0.664 0.000 1
Cs1 Cs 0.330 0.670 0.500 1
O3 O 0.154 0.901 0.806 1
Cs2 Cs 0.670 0.330 0.500 1
O4 O 0.099 0.846 0.194 1
O5 O 0.846 0.099 0.194 1
Re1 Re 0.000 0.000 0.000 1
Na3 Na 0.664 0.336 0.000 1
O6 O 0.645 0.645 0.843 1
```

# 11
HfTc2Mo | PBE-GGA | relaxed

Summary:
The value obtained for the formation energy is -39 kJ/mol of formula units. As for the spin magnetization: 0.0 μB/cell. The value obtained for the energy above the most stable polymorph in this dataset is 0.193 eV/atom.

```
data_HfTc2Mo
_symmetry_space_group_name_H-M 'P 1'
_symmetry_Int_Tables_number 1
_cell_length_a 4.496
_cell_length_b 4.496
_cell_length_c 4.496
_cell_angle_alpha 60.00
_cell_angle_beta 60.00
_cell_angle_gamma 60.00
loop_
_symmetry_equiv_pos_as_xyz
'x,y,z'
loop_
_atom_site_label
_atom_site_type_symbol
_atom_site_fract_x
_atom_site_fract_y
_atom_site_fract_z
_atom_site_occupancy
Tc1 Tc 0.250 0.250 0.250 1
Hf1 Hf 0.750 0.750 0.750 1
Tc2 Tc 0.000 0.000 0.000 1
Mo1 Mo 0.500 0.500 0.500 1
```

# 12
NdCuB4 | PBE-GGA | relaxed

Summary:
As for the spin magnetization: 0.0 μB/cell. The value obtained for the energy above the most stable polymorph in this dataset is 0.058 eV/atom.

```
data_NdCuB4
_symmetry_space_group_name_H-M 'P 1'
_symmetry_Int_Tables_number 1
_cell_length_a 5.140
_cell_length_b 5.140
_cell_length_c 5.140
_cell_angle_alpha 144.37
_cell_angle_beta 117.44
_cell_angle_gamma 74.12
loop_
_symmetry_equiv_pos_as_xyz
'x,y,z'
loop_
_atom_site_label
_atom_site_type_symbol
_atom_site_fract_x
_atom_site_fract_y
_atom_site_fract_z
_atom_site_occupancy
B1 B 0.066 0.744 0.322 1
B2 B 0.578 0.256 0.322 1
Cu1 Cu 0.500 0.500 0.000 1
B3 B 0.934 0.256 0.678 1
B4 B 0.422 0.744 0.678 1
Nd1 Nd 0.000 0.000 0.000 1
```

Question: What is the spin magnetization in the twelfth record?
Answer: 0.0 μB/cell

Question: spin magnetization of number 5 (HoTmPb2Au2)?
Answer: 0.0 μB/cell